DFT (PBE) results for a geometry-optimized LaEr3Co structure. Values from VASP.

Structure (Quantum ESPRESSO input):
```
&SYSTEM
  ibrav = 0, nat = 5, ntyp = 3
/
ATOMIC_SPECIES
La 138.91 La.upf
Co 58.93 Co.upf
Er 167.26 Er.upf
CELL_PARAMETERS angstrom
5.279 0.000 0.000
0.000 5.279 0.000
0.000 0.000 5.279
ATOMIC_POSITIONS crystal
La 0.500 0.500 0.500
Co 0.000 0.000 0.000
Er 0.000 0.500 0.000
Er 0.000 0.000 0.500
Er 0.500 0.000 0.000
```

## Properties
- E_form: -63 meV/atom
- Crystal system: cubic
- Space group: No. 221
- Spin magnetization: 0.0 μB per cell
- Density of states at the Fermi level: 7.841 states/eV/f.u.
- Calculated volume: 29.42 Å³/atom


DFT (PBE) results for a geometry-optimized LaErCo2 structure. Values from VASP.

Structure (Quantum ESPRESSO input):
```
&SYSTEM
  ibrav = 0, nat = 4, ntyp = 3
/
ATOMIC_SPECIES
La 138.91 La.upf
Co 58.93 Co.upf
Er 167.26 Er.upf
CELL_PARAMETERS angstrom
-1.167 -1.639 2.747
-2.714 -1.040 -1.773
3.394 -5.611 -1.906
ATOMIC_POSITIONS crystal
La 0.500 0.500 0.500
Co 0.000 0.000 0.766
Co 0.000 0.000 0.234
Er 0.500 0.500 0.000
```

## Properties
- E_form: -56 meV/atom
- Crystal system: tetragonal
- Space group: No. 123
- Spin magnetization: 0.9 μB per cell
- Density of states at the Fermi level: 2.198 states/eV/f.u.
- Calculated volume: 19.79 Å³/atom


DFT (PBE) results for a geometry-optimized LaEr3Co structure. Values from VASP.

Structure (Quantum ESPRESSO input):
```
&SYSTEM
  ibrav = 0, nat = 10, ntyp = 3
/
ATOMIC_SPECIES
La 138.91 La.upf
Er 167.26 Er.upf
Co 58.93 Co.upf
CELL_PARAMETERS angstrom
-0.931 5.237 -4.915
6.834 -2.396 -0.084
-4.270 -5.526 -1.390
ATOMIC_POSITIONS crystal
La 0.717 0.044 0.761
La 0.283 0.956 0.239
Er 0.842 0.048 0.298
Er 0.250 0.457 0.298
Er 0.750 0.543 0.702
Er 0.702 0.455 0.157
Er 0.158 0.952 0.702
Er 0.298 0.545 0.843
Co 0.651 0.752 0.403
Co 0.349 0.248 0.597
```

## Properties
- E_form: -115 meV/atom
- Crystal system: monoclinic
- Space group: No. 12
- Spin magnetization: 0.0 μB per cell
- Density of states at the Fermi level: 5.264 states/eV/f.u.
- Calculated volume: 28.49 Å³/atom


DFT (PBE) results for a geometry-optimized LaEr6Co2 structure. Values from VASP.

Structure (Quantum ESPRESSO input):
```
&SYSTEM
  ibrav = 0, nat = 18, ntyp = 3
/
ATOMIC_SPECIES
La 138.91 La.upf
Er 167.26 Er.upf
Co 58.93 Co.upf
CELL_PARAMETERS angstrom
8.066 0.419 -2.586
-4.528 6.798 -2.283
0.033 -0.419 8.471
ATOMIC_POSITIONS crystal
La 0.000 0.500 0.500
La 0.000 0.000 0.000
Er 0.480 0.292 0.188
Er 0.520 0.708 0.812
Er 0.896 0.708 0.188
Er 0.104 0.292 0.812
Er 0.224 0.766 0.990
Er 0.776 0.234 0.010
Er 0.776 0.766 0.542
Er 0.224 0.234 0.458
Er 0.315 0.996 0.681
Er 0.685 0.004 0.319
Er 0.685 0.366 0.681
Er 0.315 0.634 0.319
Co 0.500 0.387 0.887
Co 0.500 0.613 0.113
Co 0.336 0.000 0.336
Co 0.664 0.000 0.664
```

## Properties
- E_form: -53 meV/atom
- Crystal system: orthorhombic
- Space group: No. 71
- Spin magnetization: 0.0 μB per cell
- Density of states at the Fermi level: 10.886 states/eV/f.u.
- Calculated volume: 26.03 Å³/atom


Repeat the third record exactly.
DFT (PBE) results for a geometry-optimized LaEr3Co structure. Values from VASP.

Structure (Quantum ESPRESSO input):
```
&SYSTEM
  ibrav = 0, nat = 10, ntyp = 3
/
ATOMIC_SPECIES
La 138.91 La.upf
Er 167.26 Er.upf
Co 58.93 Co.upf
CELL_PARAMETERS angstrom
-0.931 5.237 -4.915
6.834 -2.396 -0.084
-4.270 -5.526 -1.390
ATOMIC_POSITIONS crystal
La 0.717 0.044 0.761
La 0.283 0.956 0.239
Er 0.842 0.048 0.298
Er 0.250 0.457 0.298
Er 0.750 0.543 0.702
Er 0.702 0.455 0.157
Er 0.158 0.952 0.702
Er 0.298 0.545 0.843
Co 0.651 0.752 0.403
Co 0.349 0.248 0.597
```

## Properties
- E_form: -115 meV/atom
- Crystal system: monoclinic
- Space group: No. 12
- Spin magnetization: 0.0 μB per cell
- Density of states at the Fermi level: 5.264 states/eV/f.u.
- Calculated volume: 28.49 Å³/atom